i | VASP calculation (PBE) on a geometry-optimized Ti2GeF2 structure.

extended XYZ file:
```
10
Lattice="-2.850 -0.265 -6.438 1.040 -6.966 -0.174 -2.418 -0.388 1.086" Properties=species:S:1:pos:R:3 pbc="T T T"
Ti -1.652 -4.915 -5.434
Ti -1.740 -1.392 -4.371
Ti -0.069 -5.839 -2.241
Ti -0.157 -2.316 -1.178
F -0.899 -4.516 -0.311
F -3.328 -3.103 -5.215
F -2.182 -1.104 -1.949
F -2.045 -6.515 -3.577
Ge 0.000 0.000 0.000
Ge -0.905 -3.616 -3.306
```

The value obtained for the total moment is 0.0 μB/f.u. The value obtained for the density of states at the Fermi level is 7.683 states/eV/cell. As for the volume: 13.30 A^3/atom.

***

ii | VASP calculation (PBE) on a geometry-optimized Ti2GeF2 structure.

extended XYZ file:
```
10
Lattice="7.110 0.000 0.000 0.000 7.110 0.000 0.000 0.000 2.684" Properties=species:S:1:pos:R:3 pbc="T T T"
Ti 5.540 1.985 1.342
Ti 1.570 5.125 1.342
Ti 5.125 5.540 1.342
Ti 1.985 1.570 1.342
F 6.307 4.358 0.000
F 4.358 0.803 0.000
F 2.752 6.307 0.000
F 0.803 2.752 0.000
Ge 3.555 3.555 0.000
Ge 0.000 0.000 0.000
```

The value obtained for the total moment is 1.1 μB/f.u. The value obtained for the density of states at the Fermi level is 4.932 states/eV/cell. As for the volume: 13.57 A^3/atom.

***

Result of the stability comparison: i is the least stable of them.

***

i | VASP calculation (PBE) on a geometry-optimized TiGe3F structure.

extended XYZ file:
```
5
Lattice="4.919 0.000 0.000 0.000 4.919 0.000 0.000 0.000 4.919" Properties=species:S:1:pos:R:3 pbc="T T T"
Ge 2.460 0.000 0.000
Ge 0.000 2.460 0.000
Ge 0.000 0.000 2.460
Ti 0.000 0.000 0.000
F 2.460 2.460 2.460
```

The value obtained for the total moment is 0.0 μB/f.u. The value obtained for the density of states at the Fermi level is 4.643 states/eV/cell. As for the volume: 23.81 A^3/atom.

***

ii | VASP calculation (PBE) on a geometry-optimized TiGe3F structure.

extended XYZ file:
```
5
Lattice="4.449 0.000 0.000 0.000 4.449 0.000 0.000 0.000 4.449" Properties=species:S:1:pos:R:3 pbc="T T T"
Ge 2.224 0.000 0.000
Ge 0.000 0.000 2.224
Ge 0.000 2.224 0.000
Ti 2.224 2.224 2.224
F 0.000 0.000 0.000
```

The value obtained for the total moment is 0.0 μB/f.u. The value obtained for the density of states at the Fermi level is 3.964 states/eV/cell. As for the volume: 17.61 A^3/atom.

***

Result of the stability comparison: i is the least stable of them.

***

i | VASP calculation (PBE) on a geometry-optimized TlGeF3 structure.

extended XYZ file:
```
10
Lattice="4.032 0.000 4.908 -2.016 3.492 4.908 -2.016 -3.492 4.908" Properties=species:S:1:pos:R:3 pbc="T T T"
F -1.319 -0.824 6.128
F -2.659 0.730 8.582
F -0.054 1.554 6.128
F 0.697 -2.667 8.582
F 1.373 -0.730 6.128
F 1.961 1.937 8.582
Tl 0.000 0.000 3.571
Tl 0.000 0.000 10.933
Ge 0.000 0.000 7.221
Ge 0.000 0.000 14.583
```

The value obtained for the total moment is 0.0 μB/f.u. The value obtained for the density of states at the Fermi level is 0.000 states/eV/cell. As for the volume: 20.73 A^3/atom.

***

ii | VASP calculation (PBE) on a geometry-optimized TlGeF3 structure.

extended XYZ file:
```
10
Lattice="-2.177 4.644 0.294 -2.501 -0.894 -4.398 -7.843 -0.940 1.650" Properties=species:S:1:pos:R:3 pbc="T T T"
F -7.820 2.142 -1.990
F -7.295 -0.560 -0.301
F -5.310 1.927 -3.374
F -4.266 -0.298 -3.515
F -4.701 0.667 -0.463
F -8.493 -0.988 -2.409
Ge 0.000 0.000 0.000
Ge -6.341 0.020 -2.400
Tl -7.396 2.167 0.764
Tl -4.963 3.411 -0.872
```

The value obtained for the total moment is 0.0 μB/f.u. The value obtained for the density of states at the Fermi level is 0.000 states/eV/cell. As for the volume: 19.02 A^3/atom.

***

iii | VASP calculation (PBE) on a geometry-optimized TlGeF3 structure.

extended XYZ file:
```
20
Lattice="-6.789 8.394 -0.772 -5.247 0.848 5.643 4.047 -0.695 6.575" Properties=species:S:1:pos:R:3 pbc="T T T"
F -5.950 7.317 5.987
F -1.489 1.492 2.773
F -7.107 3.880 4.928
F -3.077 2.854 8.768
F -5.041 5.193 7.379
F -4.912 5.693 2.677
F -0.882 4.667 6.518
F -6.500 7.055 8.673
F -1.902 1.028 10.367
F -2.947 3.354 4.066
F -2.039 1.230 5.459
F -6.086 7.519 1.079
Tl -7.804 6.731 3.146
Tl -3.291 5.976 4.980
Tl -4.698 2.571 6.465
Tl -0.185 1.816 8.300
Ge 1.637 1.038 4.646
Ge -6.730 6.048 7.102
Ge -9.626 7.509 6.799
Ge -1.259 2.499 4.343
```

The value obtained for the total moment is 0.0 μB/f.u. The value obtained for the density of states at the Fermi level is 0.000 states/eV/cell. As for the volume: 20.83 A^3/atom.

***

iv | VASP calculation (PBE) on a geometry-optimized TlGeF3 structure.

extended XYZ file:
```
20
Lattice="-7.799 -0.606 2.592 -5.596 5.534 -2.443 -5.936 -2.197 -5.276" Properties=species:S:1:pos:R:3 pbc="T T T"
F -10.765 2.527 -5.602
F -4.066 -0.127 0.836
F -5.600 1.493 -3.400
F -12.063 -1.090 -2.635
F -6.505 -1.030 -1.332
F -3.161 2.395 -1.232
F -6.365 2.146 -0.168
F -11.863 3.465 -0.966
F -3.301 -0.781 -2.396
F -7.468 -0.733 -4.162
F -7.267 3.822 -2.493
F -8.566 0.204 0.474
Tl -9.284 -1.060 -1.983
Tl -9.114 2.805 -0.567
Tl -8.182 2.010 -4.501
Tl -12.082 1.707 -3.205
Ge -5.214 3.108 -1.863
Ge -5.385 -0.757 -3.279
Ge -6.316 0.038 0.655
Ge -2.416 0.341 -0.641
```

The value obtained for the total moment is 0.0 μB/f.u. The value obtained for the density of states at the Fermi level is 0.000 states/eV/cell. As for the volume: 19.78 A^3/atom.

***

Result of the stability comparison: ii is the least stable of them.